Entry 1:
# SmTm4Cd

Crystalline SmTm4Cd at its relaxed geometry (PBE, the Alexandria database).

The structure belongs to space group P4/mmm (No. 123); the cell edges are 3.5328, 3.5328 and 14.0431 Å and the angles 90.00°, 90.00° and 90.00°. The inequivalent atoms are Sm at (0.0000, 0.0000, 0.0000), Tm at (0.0000, 0.0000, 0.3536), Tm at (0.5000, 0.5000, 0.1787) and Cd at (0.5000, 0.5000, 0.5000).

The calculation puts the excess energy over the best structure of this formula in the dataset at 0 meV per atom.

Entry 2:
# SmTmCd

Crystalline SmTmCd at its relaxed geometry (PBE, the Alexandria database).

The structure belongs to space group I4mm (No. 107); the cell edges are 3.6079, 3.6079 and 13.0990 Å and the angles 90.00°, 90.00° and 90.00°. The inequivalent atoms are Sm at (0.0000, 0.0000, 0.0000), Tm at (0.0000, 0.0000, 0.6864) and Cd at (0.0000, 0.0000, 0.3348).

The calculation puts the excess energy over the best structure of this formula in the dataset at 0 meV per atom.

Entry 3:
# Sm6Tm2Cd

Crystalline Sm6Tm2Cd at its relaxed geometry (PBE, the Alexandria database).

The structure belongs to space group P4_2/mnm (No. 136); the cell edges are 10.6170, 10.6170 and 5.0290 Å and the angles 90.00°, 90.00° and 90.00°. The inequivalent atoms are Sm at (0.0014, 0.3320, 0.0000), Sm at (0.1592, 0.8408, 0.5000), Tm at (0.1684, 0.1684, 0.5000) and Cd at (0.0000, 0.0000, 0.0000).

The calculation puts the excess energy over the best structure of this formula in the dataset at 0 meV per atom.

Entry 4:
# Sm2Tm4Cd

Crystalline Sm2Tm4Cd at its relaxed geometry (PBE, the Alexandria database).

The structure belongs to space group P2_1/m (No. 11); the cell edges are 5.9065, 6.5290 and 11.2649 Å and the angles 90.00°, 104.41° and 90.00°. The inequivalent atoms are Sm at (0.0815, 0.2500, 0.4837), Sm at (0.3469, 0.7500, 0.0687), Tm at (0.1555, 0.0067, 0.7869), Tm at (0.2091, 0.2500, 0.0678), Tm at (0.3616, 0.7500, 0.3708) and Cd at (0.4968, 0.2500, 0.3382).

Its total DFT energy (no corrections) is -55.94 eV/cell.

Entry 5:
# Sm6Tm2Cd

Crystalline Sm6Tm2Cd at its relaxed geometry (PBE, the Alexandria database).

The structure belongs to space group Pbam (No. 55); the cell edges are 6.5474, 15.9114 and 5.5761 Å and the angles 90.00°, 90.00° and 90.00°. The inequivalent atoms are Sm at (0.0804, 0.1945, 0.0000), Sm at (0.0837, 0.4054, 0.0000), Sm at (0.2471, 0.0584, 0.5000), Tm at (0.2272, 0.8003, 0.5000) and Cd at (0.0000, 0.0000, 0.0000).

The calculation puts the excess energy over the best structure of this formula in the dataset at 10 meV per atom.

Entry 6:
# Sm3Tm2Cd3

Crystalline Sm3Tm2Cd3 at its relaxed geometry (PBE, the Alexandria database).

The structure belongs to space group P-62m (No. 189); the cell edges are 8.7172, 8.7172 and 3.3799 Å and the angles 90.00°, 90.00° and 120.00°. The inequivalent atoms are Sm at (0.0000, 0.2371, 0.0000), Tm at (0.3333, 0.6667, 0.0000) and Cd at (0.0000, 0.6095, 0.5000).

The calculation puts the excess energy over the best structure of this formula in the dataset at 94 meV per atom.

Entry 7:
# SmTm3Cd2

Crystalline SmTm3Cd2 at its relaxed geometry (PBE, the Alexandria database).

The structure belongs to space group P4/mmm (No. 123); the cell edges are 3.6381, 3.6381 and 12.5221 Å and the angles 90.00°, 90.00° and 90.00°. The inequivalent atoms are Sm at (0.0000, 0.0000, 0.0000), Tm at (0.5000, 0.5000, 0.1967), Tm at (0.5000, 0.5000, 0.5000) and Cd at (0.0000, 0.0000, 0.3493).

Its total DFT energy (no corrections) is -21.14 eV/cell.

Entry 8:
# SmTm2Cd

Crystalline SmTm2Cd at its relaxed geometry (PBE, the Alexandria database).

The structure belongs to space group P4/mmm (No. 123); the cell edges are 3.5693, 3.5693 and 9.0102 Å and the angles 90.00°, 90.00° and 90.00°. The inequivalent atoms are Sm at (0.0000, 0.0000, 0.0000), Tm at (0.5000, 0.5000, 0.2771) and Cd at (0.0000, 0.0000, 0.5000).

The calculation puts the excess energy over the best structure of this formula in the dataset at 0 meV per atom.

Entry 9:
# Sm2TmCd3

Crystalline Sm2TmCd3 at its relaxed geometry (PBE, the Alexandria database).

The structure belongs to space group P4/mmm (No. 123); the cell edges are 3.7615, 3.7615 and 11.4215 Å and the angles 90.00°, 90.00° and 90.00°. The inequivalent atoms are Sm at (0.0000, 0.0000, 0.1704), Tm at (0.0000, 0.0000, 0.5000), Cd at (0.5000, 0.5000, 0.0000) and Cd at (0.5000, 0.5000, 0.3444).

Its total DFT energy (no corrections) is -18.52 eV/cell.

Entry 10:
# Sm4TmCd2

Crystalline Sm4TmCd2 at its relaxed geometry (PBE, the Alexandria database).

The structure belongs to space group R-3m (No. 166, hexagonal axes); the cell edges are 5.5600, 5.5600 and 26.1072 Å and the angles 90.00°, 90.00° and 120.00°. The inequivalent atoms are Sm at (0.0000, 0.0000, 0.1302), Sm at (0.0000, 0.0000, 0.2640), Tm at (0.0000, 0.0000, 0.5000) and Cd at (0.0000, 0.0000, 0.3845).

Its total DFT energy (no corrections) is -73.30 eV/cell.

Entry 11:
# Sm5Tm2Cd4

Crystalline Sm5Tm2Cd4 at its relaxed geometry (PBE, the Alexandria database).

The structure belongs to space group C2/m (No. 12); the cell edges are 24.3492, 3.3827 and 7.9911 Å and the angles 90.00°, 92.53° and 90.00°. The inequivalent atoms are Sm at (0.0000, 0.0000, 0.0000), Sm at (0.1398, 0.5000, 0.1250), Sm at (0.2329, 0.5000, 0.7910), Tm at (0.0911, 0.5000, 0.7201), Cd at (0.0366, 0.5000, 0.3557) and Cd at (0.1641, 0.0000, 0.4723).

Its total DFT energy (no corrections) is -72.09 eV/cell.

Entry 12:
# Sm3Tm2Cd2

Crystalline Sm3Tm2Cd2 at its relaxed geometry (PBE, the Alexandria database).

The structure belongs to space group Cmmm (No. 65); the cell edges are 5.1216, 22.8337 and 3.4826 Å and the angles 90.00°, 90.00° and 90.00°. The inequivalent atoms are Sm at (0.0000, 0.0000, 0.0000), Sm at (0.0000, 0.1481, 0.0000), Tm at (0.0000, 0.2895, 0.5000) and Cd at (0.0000, 0.4306, 0.5000).

The calculation puts the excess energy over the best structure of this formula in the dataset at 88 meV per atom.

Entry 13:
# SmTm6Cd2

Crystalline SmTm6Cd2 at its relaxed geometry (PBE, the Alexandria database).

The structure belongs to space group C2/m (No. 12); the cell edges are 12.5072, 3.6851 and 11.7607 Å and the angles 90.00°, 108.22° and 90.00°. The inequivalent atoms are Sm at (0.0000, 0.0000, 0.0000), Tm at (0.0141, 0.0000, 0.3424), Tm at (0.1838, 0.5000, 0.8756), Tm at (0.1867, 0.5000, 0.5817) and Cd at (0.1497, 0.5000, 0.2160).

Its total DFT energy (no corrections) is -68.92 eV/cell.

Entry 14:
# SmTmCd14

Crystalline SmTmCd14 at its relaxed geometry (PBE, the Alexandria database).

The structure belongs to space group P4/mmm (No. 123); the cell edges are 6.6103, 6.6103 and 8.4998 Å and the angles 90.00°, 90.00° and 90.00°. The inequivalent atoms are Sm at (0.0000, 0.0000, 0.0000), Tm at (0.5000, 0.5000, 0.0000), Cd at (0.0000, 0.0000, 0.5000), Cd at (0.0000, 0.5000, 0.0000), Cd at (0.0000, 0.5000, 0.5000), Cd at (0.2527, 0.2527, 0.2584) and Cd at (0.5000, 0.5000, 0.5000).

Its total DFT energy (no corrections) is -24.15 eV/cell.

Entry 15:
# Sm8Tm2Cd

Crystalline Sm8Tm2Cd at its relaxed geometry (PBE, the Alexandria database).

The structure belongs to space group C2/m (No. 12); the cell edges are 17.3744, 5.4450 and 8.3387 Å and the angles 90.00°, 115.46° and 90.00°. The inequivalent atoms are Sm at (0.0196, 0.0000, 0.2271), Sm at (0.1071, 0.5000, 0.9342), Sm at (0.1620, 0.0000, 0.7049), Sm at (0.1692, 0.5000, 0.4058), Tm at (0.2011, 0.0000, 0.1492) and Cd at (0.0000, 0.5000, 0.5000).

The calculation puts the excess energy over the best structure of this formula in the dataset at 53 meV per atom.

Entry 16:
# SmTmCd17

Crystalline SmTmCd17 at its relaxed geometry (PBE, the Alexandria database).

The structure belongs to space group R3m (No. 160, hexagonal axes); the cell edges are 10.0463, 10.0463 and 15.0295 Å and the angles 90.00°, 90.00° and 120.00°. The inequivalent atoms are Sm at (0.0000, 0.0000, 0.0000), Tm at (0.0000, 0.0000, 0.3471), Cd at (0.0000, 0.0000, 0.5661), Cd at (0.0000, 0.0000, 0.7599), Cd at (0.0304, 0.3609, 0.3366), Cd at (0.1792, 0.3584, 0.1469), Cd at (0.1847, 0.3695, 0.5105) and Cd at (0.2006, 0.4012, 0.8514).

Its total DFT energy (no corrections) is -80.34 eV/cell.

Entry 17:
# Sm2Tm3Cd3

Crystalline Sm2Tm3Cd3 at its relaxed geometry (PBE, the Alexandria database).

The structure belongs to space group Pmmm (No. 47); the cell edges are 4.8756, 4.8846 and 9.1949 Å and the angles 90.00°, 90.00° and 90.00°. The inequivalent atoms are Sm at (0.0000, 0.0000, 0.2436), Tm at (0.0000, 0.5000, 0.5000), Tm at (0.5000, 0.5000, 0.2300), Cd at (0.0000, 0.5000, 0.0000), Cd at (0.5000, 0.0000, 0.0000) and Cd at (0.5000, 0.0000, 0.5000).

The calculation puts the excess energy over the best structure of this formula in the dataset at 47 meV per atom.

Entry 18:
# Sm2Tm2Cd

Crystalline Sm2Tm2Cd at its relaxed geometry (PBE, the Alexandria database).

The structure belongs to space group I4/mmm (No. 139); the cell edges are 3.5643, 3.5643 and 23.3844 Å and the angles 90.00°, 90.00° and 90.00°. The inequivalent atoms are Sm at (0.0000, 0.0000, 0.1940), Tm at (0.0000, 0.0000, 0.4134) and Cd at (0.0000, 0.0000, 0.0000).

The calculation puts the excess energy over the best structure of this formula in the dataset at 0 meV per atom.

Entry 19:
# Sm12TmCd6

Crystalline Sm12TmCd6 at its relaxed geometry (PBE, the Alexandria database).

The structure belongs to space group R-3 (No. 148, hexagonal axes); the cell edges are 11.4382, 11.4382 and 14.8615 Å and the angles 90.00°, 90.00° and 120.00°. The inequivalent atoms are Sm at (0.0371, 0.1900, 0.3081), Sm at (0.0573, 0.8419, 0.9092), Tm at (0.0000, 0.0000, 0.5000) and Cd at (0.0344, 0.4420, 0.2053).

Its total DFT energy (no corrections) is -205.32 eV/cell.

Entry 20:
# SmTmCd

Crystalline SmTmCd at its relaxed geometry (PBE, the Alexandria database).

The structure belongs to space group Amm2 (No. 38); the cell edges are 3.5040, 3.4632 and 28.4437 Å and the angles 90.00°, 90.00° and 90.00°. The inequivalent atoms are Sm at (0.0000, 0.0000, 0.0000), Sm at (0.0000, 0.0000, 0.1550), Tm at (0.0000, 0.0000, 0.3075), Tm at (0.5000, 0.0000, 0.8922), Cd at (0.5000, 0.0000, 0.5771) and Cd at (0.5000, 0.0000, 0.7344).

The calculation puts the excess energy over the best structure of this formula in the dataset at 79 meV per atom.

Entry 21:
# Sm2TmCd2

Crystalline Sm2TmCd2 at its relaxed geometry (PBE, the Alexandria database).

The structure belongs to space group Immm (No. 71); the cell edges are 4.9975, 6.9243 and 8.3236 Å and the angles 90.00°, 90.00° and 90.00°. The inequivalent atoms are Sm at (0.0000, 0.0000, 0.1970), Tm at (0.0000, 0.5000, 0.0000) and Cd at (0.0000, 0.2878, 0.5000).

The calculation puts the excess energy over the best structure of this formula in the dataset at 69 meV per atom.

Entry 22:
# Sm7Tm2Cd2

Crystalline Sm7Tm2Cd2 at its relaxed geometry (PBE, the Alexandria database).

The structure belongs to space group C2/m (No. 12); the cell edges are 8.7695, 9.7100 and 8.5711 Å and the angles 90.00°, 109.93° and 90.00°. The inequivalent atoms are Sm at (0.0000, 0.0000, 0.0000), Sm at (0.1339, 0.0000, 0.4166), Sm at (0.1973, 0.3232, 0.1745), Tm at (0.0000, 0.3227, 0.5000) and Cd at (0.1200, 0.5000, 0.8217).

Its total DFT energy (no corrections) is -88.63 eV/cell.

Calculated size of the total moment in order - 0.00, 1.26, 0.00, 0.00, 0.00, 1.48, 0.00, 0.00, 0.88, 0.00, 0.00, 0.86, 0.00, 0.00, 0.00, 0.00, 0.02, 0.00, 0.00, 0.63, 0.00, 0.00 Bohr magnetons per cell